(w)
# BaScCr

A crystal of BaScCr relaxed with PBEsol (meta-GGA SCAN, Alexandria).

## Properties
ρ = 4.37 Mg/m³

Cell lengths 5.013, 5.013, 5.013 Å; angles 60.00, 60.00, 60.00 degrees
Sites, in units of the cell vectors:
Ba  0.000  0.000  0.000
Sc  0.250  0.250  0.250
Cr  0.750  0.750  0.750

=====

(x)
# BaScCr

A crystal of BaScCr relaxed with PBEsol (meta-GGA SCAN, Alexandria).

## Properties
ρ = 4.90 Mg/m³

Cell lengths 3.438, 3.438, 7.763 Å; angles 90.00, 90.00, 120.00 degrees
Sites, in units of the cell vectors:
Ba  0.000  0.000  0.000
Sc  0.667  0.333  0.417
Cr  0.333  0.667  0.668

=====

Best to worst by energy: (x), (w).

=====

(w)
# BaTaCr2

A crystal of BaTaCr2 relaxed with PBEsol (meta-GGA SCAN, Alexandria).

## Properties
ρ = 8.88 Mg/m³

Cell lengths 9.336, 9.336, 9.336 Å; angles 19.47, 19.47, 19.47 degrees
Sites, in units of the cell vectors:
Ba  0.000  0.000  0.000
Ta  0.500  0.500  0.500
Cr  0.233  0.233  0.233
Cr  0.767  0.767  0.767

=====

(x)
# BaTaCr2

A crystal of BaTaCr2 relaxed with PBEsol (meta-GGA SCAN, Alexandria).

## Properties
ρ = 7.84 Mg/m³

Cell lengths 4.779, 4.779, 6.444 Å; angles 94.70, 94.70, 37.57 degrees
Sites, in units of the cell vectors:
Ba  0.000  0.000  0.000
Ta  0.500  0.500  0.500
Cr  0.236  0.236  0.616
Cr  0.764  0.764  0.384

=====

(y)
# BaTaCr2

A crystal of BaTaCr2 relaxed with PBEsol (meta-GGA SCAN, Alexandria).

## Properties
ρ = 8.79 Mg/m³

Cell lengths 5.052, 5.052, 3.127 Å; angles 90.00, 90.00, 90.00 degrees
Sites, in units of the cell vectors:
Ba  0.000  0.000  0.000
Ta  0.500  0.500  0.000
Cr  0.000  0.500  0.500
Cr  0.500  0.000  0.500

=====

Best to worst by energy: (x), (w), (y).

=====

(w)
# BaTlCr

A crystal of BaTlCr relaxed with PBEsol (meta-GGA SCAN, Alexandria).

## Properties
ρ = 7.12 Mg/m³

Cell lengths 5.043, 5.043, 4.170 Å; angles 90.00, 90.00, 120.00 degrees
Sites, in units of the cell vectors:
Ba  0.000  0.000  0.000
Tl  0.667  0.333  0.500
Cr  0.333  0.667  0.500

=====

(x)
# BaTlCr

A crystal of BaTlCr relaxed with PBEsol (meta-GGA SCAN, Alexandria).

## Properties
ρ = 7.00 Mg/m³

Cell lengths 5.093, 5.093, 5.093 Å; angles 60.00, 60.00, 60.00 degrees
Sites, in units of the cell vectors:
Ba  0.000  0.000  0.000
Tl  0.500  0.500  0.500
Cr  0.750  0.750  0.750

=====

Best to worst by energy: (w), (x).

=====

(w)
# BaCr2W

A crystal of BaCr2W relaxed with PBEsol (meta-GGA SCAN, Alexandria).

## Properties
ρ = 8.27 Mg/m³

Cell lengths 7.092, 7.092, 7.092 Å; angles 155.12, 145.22, 43.24 degrees
Sites, in units of the cell vectors:
Ba  0.000  0.000  0.000
Cr  0.224  0.724  0.500
Cr  0.337  0.337  0.000
W  0.736  0.236  0.500

=====

(x)
# BaCr2W

A crystal of BaCr2W relaxed with PBEsol (meta-GGA SCAN, Alexandria).

## Properties
ρ = 8.22 Mg/m³

Cell lengths 4.716, 4.716, 6.371 Å; angles 100.55, 100.55, 38.17 degrees
Sites, in units of the cell vectors:
Ba  0.000  0.000  0.000
Cr  0.221  0.221  0.608
Cr  0.779  0.779  0.392
W  0.500  0.500  0.500

=====

(y)
# BaCr2W

A crystal of BaCr2W relaxed with PBEsol (meta-GGA SCAN, Alexandria).

## Properties
ρ = 8.70 Mg/m³

Cell lengths 2.930, 3.981, 6.962 Å; angles 90.00, 90.78, 90.00 degrees
Sites, in units of the cell vectors:
Ba  0.000  0.000  0.000
Cr  0.097  0.500  0.637
Cr  0.903  0.500  0.363
W  0.500  0.000  0.500

=====

(z)
# BaCr2W

A crystal of BaCr2W relaxed with PBEsol (meta-GGA SCAN, Alexandria).

## Properties
ρ = 8.96 Mg/m³

Cell lengths 2.981, 3.534, 7.558 Å; angles 90.00, 98.22, 90.00 degrees
Sites, in units of the cell vectors:
Ba  0.000  0.000  0.000
Cr  0.493  0.500  0.348
Cr  0.895  0.000  0.476
W  0.379  0.500  0.636

=====

Best to worst by energy: (y), (z), (x), (w).